(1)
This record from the Open Quantum Materials Database describes an optimized crystal structure of LaMgZrCo. The functional is PBE.

Lattice parameters (Å, degrees): 4.9598 4.9598 4.9598 60.00 60.00 60.00
Fractional positions:
Zr 0.0000 0.0000 0.0000
Co 0.2500 0.2500 0.2500
Mg 0.7500 0.7500 0.7500
La 0.5000 0.5000 0.5000

**ΔE to the lowest computed polymorph**: 0.000 eV per atom
**Raw total energy**: -5.334 eV per atom

***

(2)
This record from the Open Quantum Materials Database describes an optimized crystal structure of Tm3HfHg2C2. The functional is PBE.

Lattice parameters (Å, degrees): 3.4691 3.4691 15.3950 90.00 90.00 120.00
Fractional positions:
Hg 0.3333 0.6667 0.7532
Hg 0.6667 0.3333 0.2396
Tm 0.3333 0.6667 0.4113
Tm 0.6667 0.3333 0.5862
Tm 0.6667 0.3333 0.9153
C 0.0000 0.0000 0.0127
C 0.0000 0.0000 0.4992
Hf 0.3333 0.6667 0.0825

**Raw total energy**: -5.753 eV per atom

***

(3)
This record from the Open Quantum Materials Database describes an optimized crystal structure of GdTmIn. The functional is PBE.

Lattice parameters (Å, degrees): 5.3665 5.3665 6.6986 90.00 90.00 120.00
Fractional positions:
Gd 0.3333 0.6667 0.7500
Gd 0.6667 0.3333 0.2500
Tm 0.0000 0.0000 0.5000
Tm 0.0000 0.0000 0.0000
In 0.6667 0.3333 0.7500
In 0.3333 0.6667 0.2500

**ΔE to the lowest computed polymorph**: 0.001 eV per atom
**Raw total energy**: -4.304 eV per atom

***

(4)
This record from the Open Quantum Materials Database describes an optimized crystal structure of Li2Mg2ZnCdCu2. The functional is PBE.

Lattice parameters (Å, degrees): 4.4267 4.4267 6.2951 90.00 90.00 90.00
Fractional positions:
Li 0.0000 0.5000 0.7362
Li 0.5000 0.0000 0.2638
Cd 0.0000 0.0000 0.0000
Cu 0.0000 0.5000 0.2665
Cu 0.5000 0.0000 0.7335
Mg 0.0000 0.0000 0.5000
Mg 0.5000 0.5000 0.0000
Zn 0.5000 0.5000 0.5000

**Raw total energy**: -2.220 eV per atom

***

(5)
This record from the Open Quantum Materials Database describes an optimized crystal structure of PrCuB4. The functional is PBE.

Lattice parameters (Å, degrees): 5.1837 5.1837 5.1837 144.61 117.82 73.62
Fractional positions:
B 0.4331 0.7554 0.6777
B 0.0777 0.7554 0.3223
B 0.5669 0.2446 0.3223
B 0.9223 0.2446 0.6777
Pr 0.5000 0.5000 0.0000
Cu 0.0000 0.0000 0.0000

**ΔE to the lowest computed polymorph**: 0.062 eV per atom
**Raw total energy**: -5.751 eV per atom

***

(6)
This record from the Open Quantum Materials Database describes an optimized crystal structure of TmCoB4. The functional is PBE.

Lattice parameters (Å, degrees): 3.1461 3.1461 6.3873 90.00 90.00 120.00
Fractional positions:
B 0.3333 0.6667 0.7047
B 0.6667 0.3333 0.7047
B 0.6667 0.3333 0.2953
B 0.3333 0.6667 0.2953
Tm 0.0000 0.0000 0.0000
Co 0.0000 0.0000 0.5000

**ΔE to the lowest computed polymorph**: 0.000 eV per atom
**Raw total energy**: -6.762 eV per atom

***

(7)
This record from the Open Quantum Materials Database describes an optimized crystal structure of KPuF4. The functional is PBE.

Lattice parameters (Å, degrees): 4.0562 5.7747 8.0503 90.00 90.00 90.00
Fractional positions:
F 0.5000 0.7378 0.6574
F 0.5000 0.7685 0.1038
F 0.0000 0.2685 0.8962
F 0.0000 0.7622 0.3426
F 0.0000 0.7315 0.8962
F 0.5000 0.2622 0.6574
F 0.5000 0.2315 0.1038
F 0.0000 0.2378 0.3426
K 0.0000 0.0000 0.6145
K 0.5000 0.5000 0.3855
Pu 0.5000 0.5000 0.8713
Pu 0.0000 0.0000 0.1288

**Raw total energy**: -7.151 eV per atom

***

(8)
This record from the Open Quantum Materials Database describes an optimized crystal structure of TmAs2. The functional is PBE.

Lattice parameters (Å, degrees): 5.6722 5.6722 5.6722 60.00 60.00 60.00
Fractional positions:
Tm 0.0000 0.0000 0.0000
Tm 0.2500 0.2500 0.2500
As 0.6250 0.6250 0.1250
As 0.6250 0.1250 0.6250
As 0.1250 0.6250 0.6250
As 0.6250 0.6250 0.6250

**Raw total energy**: -4.842 eV per atom

***

(9)
This record from the Open Quantum Materials Database describes an optimized crystal structure of HfZrPO. The functional is PBE.

Lattice parameters (Å, degrees): 3.8454 7.4093 4.8871 90.00 90.00 90.00
Fractional positions:
P 0.0000 0.8812 0.4381
P 0.0000 0.1188 0.9381
Hf 0.0000 0.2365 0.4382
Hf 0.0000 0.7635 0.9382
Zr 0.5000 0.6410 0.4392
Zr 0.5000 0.3590 0.9392
O 0.5000 0.3425 0.4385
O 0.5000 0.6575 0.9385

**ΔE to the lowest computed polymorph**: 0.003 eV per atom
**Raw total energy**: -8.897 eV per atom

***

(10)
This record from the Open Quantum Materials Database describes an optimized crystal structure of NdYAlNi2. The functional is PBE.

Lattice parameters (Å, degrees): 5.4323 5.4323 5.4323 134.29 119.96 78.60
Fractional positions:
Ni 0.2665 0.4999 0.7666
Ni 0.7333 0.4999 0.2334
Nd 0.7044 0.2044 0.5000
Al 0.0000 0.0000 0.0000
Y 0.2957 0.7957 0.5000

**Raw total energy**: -5.708 eV per atom

***

(11)
This record from the Open Quantum Materials Database describes an optimized crystal structure of K2Cu. The functional is PBE.

Lattice parameters (Å, degrees): 7.0121 7.0121 7.0121 60.00 60.00 60.00
Fractional positions:
K 0.6250 0.6250 0.6250
K 0.6250 0.1250 0.6250
K 0.6250 0.6250 0.1250
K 0.1250 0.6250 0.6250
Cu 0.2500 0.2500 0.2500
Cu 0.0000 0.0000 0.0000

**ΔE to the lowest computed polymorph**: 0.358 eV per atom
**Raw total energy**: -1.258 eV per atom

***

(12)
This record from the Open Quantum Materials Database describes an optimized crystal structure of LiPrGd. The functional is PBE.

Lattice parameters (Å, degrees): 5.1212 5.1212 5.1212 60.00 60.00 60.00
Fractional positions:
Gd 0.2500 0.2500 0.2500
Pr 0.7500 0.7500 0.7500
Li 0.0000 0.0000 0.0000

**ΔE to the lowest computed polymorph**: 0.000 eV per atom
**Raw total energy**: -3.298 eV per atom

***

Question: Which formula does entry 5 have?
Answer: PrCuB4

***

Question: Look up the raw total energy of the ninth one.
Answer: -8.897 eV per atom

***

What did the eighth record say?
This record from the Open Quantum Materials Database describes an optimized crystal structure of TmAs2. The functional is PBE.

Lattice parameters (Å, degrees): 5.6722 5.6722 5.6722 60.00 60.00 60.00
Fractional positions:
Tm 0.0000 0.0000 0.0000
Tm 0.2500 0.2500 0.2500
As 0.6250 0.6250 0.1250
As 0.6250 0.1250 0.6250
As 0.1250 0.6250 0.6250
As 0.6250 0.6250 0.6250

**Raw total energy**: -4.842 eV per atom

***

Question: Which of these has the highest raw total energy?
Answer: K2Cu